[1]
Material: Ni10Sn
Method: DFT, GGA-PBE
State: optimized geometry

The structure in extended XYZ format:
```
22
Lattice="-2.365 -2.085 2.894 -2.643 -3.346 -0.377 22.539 -18.289 5.132" Properties=species:S:1:pos:R:3 pbc="T T T"
Ni 1.548 -4.583 1.634
Ni 2.845 -6.600 2.301
Ni 21.487 -18.861 5.442
Ni 13.894 -20.277 6.632
Sn 2.297 -9.915 3.625
Ni 4.965 -5.442 1.675
Ni 20.188 -16.855 4.779
Sn 15.233 -13.805 4.025
Ni 16.784 -15.986 4.734
Ni -0.562 -5.715 2.249
Ni 17.280 -21.139 6.677
Ni 12.566 -18.277 5.974
Ni 15.982 -19.137 6.015
Ni -2.658 -6.865 2.870
Ni -1.857 -3.714 1.588
Ni 0.251 -2.581 0.973
Ni 18.093 -18.005 5.400
Ni 19.387 -20.006 6.061
Ni 3.636 -3.442 1.017
Ni 14.686 -17.120 5.349
Ni -3.957 -4.858 2.207
Ni 0.746 -7.734 2.916
```

## Properties
**VASP energy**: -5.41 eV per atom
**Density**: 5.79 g cm⁻³
**Space group**: C2/m



[2]
Material: Ni2Sn9
Method: DFT, GGA-PBE
State: optimized geometry

The structure in extended XYZ format:
```
22
Lattice="5.811 6.838 0.879 -8.348 2.900 1.792 2.200 -6.574 5.766" Properties=species:S:1:pos:R:3 pbc="T T T"
Sn -1.066 4.836 4.327
Sn 4.193 2.774 1.915
Ni -0.222 2.085 5.559
Ni 0.751 -2.243 1.967
Sn -2.092 1.847 3.525
Sn -1.479 -0.884 1.818
Sn -1.926 7.396 2.028
Ni -2.848 0.989 0.611
Sn 0.395 -0.386 4.462
Sn 2.761 -2.544 3.853
Sn -4.759 0.284 2.492
Sn -0.577 -3.473 4.068
Ni 1.982 2.333 0.300
Sn 6.084 0.201 5.046
Sn 1.246 2.776 3.310
Sn -2.394 -0.097 6.124
Sn -0.610 2.343 0.643
Sn -4.668 -2.790 5.739
Sn 2.813 1.352 5.789
Sn -3.908 3.446 1.340
Sn 1.706 5.007 0.978
Sn 1.927 0.064 1.599
```

## Properties
**VASP energy**: -4.22 eV per atom
**Density**: 6.98 g cm⁻³
**Space group**: I-43m



[3]
Material: Ni7Sn
Method: DFT, GGA-PBE
State: optimized geometry

The structure in extended XYZ format:
```
16
Lattice="2.629 0.000 0.000 0.000 3.391 0.000 0.000 0.000 33.606" Properties=species:S:1:pos:R:3 pbc="T T T"
Ni 0.000 0.000 24.807
Ni 1.314 1.695 8.800
Ni 1.314 1.695 21.102
Ni 0.000 0.000 17.419
Sn 1.314 1.695 26.427
Ni 0.000 0.000 10.045
Sn 0.000 0.000 7.179
Ni 0.000 0.000 12.499
Ni 1.314 1.695 13.734
Ni 0.000 0.000 14.968
Ni 1.314 1.695 11.277
Ni 1.314 1.695 18.643
Ni 1.314 1.695 23.561
Ni 1.314 1.695 16.189
Ni 0.000 0.000 22.336
Ni 0.000 0.000 19.862
```

## Properties
**VASP energy**: -5.28 eV per atom
**Density**: 5.87 g cm⁻³
**Space group**: Pmmn



[4]
Material: Ni2Sn
Method: DFT, GGA-PBE
State: optimized geometry

The structure in extended XYZ format:
```
6
Lattice="-0.218 -4.483 2.677 1.210 -2.650 -4.339 4.029 0.348 0.911" Properties=species:S:1:pos:R:3 pbc="T T T"
Ni 2.979 -2.791 -2.675
Ni 0.667 -4.795 -1.117
Sn 2.511 -3.392 -0.376
Ni 2.043 -3.993 1.924
Sn 0.000 0.000 0.000
Ni 0.325 -2.338 -0.545
```

## Properties
**VASP energy**: -4.43 eV per atom
**Density**: 6.93 g cm⁻³
**Space group**: P4_2/mnm



[5]
Material: Sr2NiSn
Method: DFT, GGA-PBE
State: optimized geometry

The structure in extended XYZ format:
```
4
Lattice="2.615 1.510 4.270 -2.615 1.510 4.270 0.000 -3.020 4.270" Properties=species:S:1:pos:R:3 pbc="T T T"
Ni 0.000 0.000 6.405
Sr 0.000 0.000 0.000
Sr 0.000 0.000 9.608
Sn 0.000 0.000 3.203
```

## Properties
**VASP energy**: -3.31 eV per atom
**Density**: 5.79 g cm⁻³
**Space group**: F-43m



[6]
Material: Sr2Ni3Sn2
Method: DFT, GGA-PBE
State: optimized geometry

The structure in extended XYZ format:
```
7
Lattice="-7.837 4.740 4.740 -4.740 4.740 7.837 -4.740 7.837 4.740" Properties=species:S:1:pos:R:3 pbc="T T T"
Ni -6.049 6.049 6.049
Sr -4.333 4.333 4.333
Ni -11.421 11.421 11.421
Sr -13.087 13.087 13.087
Ni -14.769 14.769 14.769
Sn -8.728 8.728 8.728
Sn -0.062 0.062 0.062
```

## Properties
**VASP energy**: -4.33 eV per atom
**Density**: 5.89 g cm⁻³
**Space group**: R3m



[7]
Material: Ta2Ni2Sn3
Method: DFT, GGA-PBE
State: optimized geometry

The structure in extended XYZ format:
```
7
Lattice="4.560 -1.043 7.015 0.516 0.161 8.414 1.307 -4.062 7.272" Properties=species:S:1:pos:R:3 pbc="T T T"
Sn 5.501 -4.261 19.562
Ni 6.370 -4.934 22.654
Sn 4.020 -3.114 14.296
Ta 4.796 -3.715 17.057
Ni 3.212 -2.488 11.421
Sn 2.450 -1.898 8.712
Ta 1.577 -1.222 5.610
```

## Properties
**VASP energy**: -6.19 eV per atom
**Density**: 10.09 g cm⁻³
**Space group**: R3m



[8]
Material: Ta4Ni5Sn5
Method: DFT, GGA-PBE
State: optimized geometry

The structure in extended XYZ format:
```
14
Lattice="3.171 -3.095 -4.002 3.979 2.842 5.408 -2.484 -3.991 5.573" Properties=species:S:1:pos:R:3 pbc="T T T"
Ni -0.741 -2.919 3.699
Ta 1.490 -3.895 4.226
Sn 0.757 -1.829 1.953
Ni 2.113 -3.229 6.596
Ta 2.360 -3.508 0.095
Ta 3.152 -0.326 2.783
Sn 1.585 -1.548 -2.001
Ni 3.963 0.085 5.103
Ni 3.126 -2.896 2.489
Sn -0.267 -2.426 6.179
Ta 2.330 -0.760 6.853
Ni 3.997 -2.426 -1.440
Sn 4.889 -1.776 0.854
Sn 3.953 -2.458 4.971
```

## Properties
**VASP energy**: -7.02 eV per atom
**Density**: 10.13 g cm⁻³
**Space group**: I-4



Copy entry 4 word for word.
Material: Ni2Sn
Method: DFT, GGA-PBE
State: optimized geometry

The structure in extended XYZ format:
```
6
Lattice="-0.218 -4.483 2.677 1.210 -2.650 -4.339 4.029 0.348 0.911" Properties=species:S:1:pos:R:3 pbc="T T T"
Ni 2.979 -2.791 -2.675
Ni 0.667 -4.795 -1.117
Sn 2.511 -3.392 -0.376
Ni 2.043 -3.993 1.924
Sn 0.000 0.000 0.000
Ni 0.325 -2.338 -0.545
```

## Properties
**VASP energy**: -4.43 eV per atom
**Density**: 6.93 g cm⁻³
**Space group**: P4_2/mnm



What is the VASP energy in the second record?
-4.22 eV per atom



What is the VASP energy in the fifth record?
-3.31 eV per atom